Here is a relaxed InIrO2 crystal from Alexandria via LeMat-Bulk. Energies are from PBE-GGA.

The structure in POSCAR format:
```
InIrO2
1.0
1.8721 0.0000 6.5181
-0.9360 1.6213 6.5181
-0.9360 -1.6213 6.5181
Ir O In
1 2 1
Cartesian
0.0000 0.0000 9.7771
0.0000 0.0000 17.2037
0.0000 0.0000 2.3506
0.0000 0.0000 0.0000
```

Results
- Energy relative to the elements, uncorrected: -0.572 eV per atom
- Raw total energy: -5.951 eV per atom
- N(E_F): 0.32 states/eV/atom
- Volume: 14.8 Å³ per atom